1.
Entry from Alexandria: an optimized crystal structure of KSrTa (PBE).

a = 6.0825 Å, b = 6.0825 Å, c = 3.1558 Å
α = 90.00°, β = 90.00°, γ = 120.00°
Sites, in units of the cell vectors:
1 Sr 0.3333 0.6667 0.0000
2 K 0.0000 0.0000 0.5000
3 Ta 0.6667 0.3333 0.0000

- ΔE to the lowest computed polymorph: 1025 meV/atom
- Density: 5.1 g cm⁻³

2.
Entry from Alexandria: an optimized crystal structure of CuHgW (PBE).

a = 4.2367 Å, b = 4.2367 Å, c = 4.2367 Å
α = 60.00°, β = 60.00°, γ = 60.00°
Sites, in units of the cell vectors:
1 Cu 0.7500 0.7500 0.7500
2 Hg 0.0000 0.0000 0.0000
3 W 0.5000 0.5000 0.5000

- ΔE to the lowest computed polymorph: 571 meV/atom
- Density: 13.8 g cm⁻³

3.
Entry from Alexandria: an optimized crystal structure of Tb3Pr2SmTe6 (PBE).

a = 4.3978 Å, b = 8.9594 Å, c = 9.9481 Å
α = 103.77°, β = 102.77°, γ = 90.00°
Sites, in units of the cell vectors:
1 Tb 0.5000 0.5000 0.0000
2 Tb 0.8312 0.1662 0.6624
3 Tb 0.1688 0.8338 0.3376
4 Pr 0.8324 0.6653 0.6649
5 Pr 0.1676 0.3347 0.3351
6 Sm 0.5000 0.0000 0.0000
7 Te 0.3330 0.9252 0.6660
8 Te 0.6633 0.5906 0.3265
9 Te 0.6670 0.0748 0.3340
10 Te 0.9966 0.2523 0.9932
11 Te 0.0034 0.7477 0.0068
12 Te 0.3367 0.4094 0.6735

- Density: 7.5 g cm⁻³
- Energy relative to the elements, uncorrected: -1.368 eV per atom

4.
Entry from Alexandria: an optimized crystal structure of RbY2H (PBE).

a = 5.5144 Å, b = 5.5144 Å, c = 5.5144 Å
α = 60.00°, β = 60.00°, γ = 60.00°
Sites, in units of the cell vectors:
1 Y 0.2500 0.2500 0.2500
2 Y 0.7500 0.7500 0.7500
3 H 0.0000 0.0000 0.0000
4 Rb 0.5000 0.5000 0.5000

- ΔE to the lowest computed polymorph: 1079 meV/atom
- Density: 3.7 g cm⁻³

5.
Entry from Alexandria: an optimized crystal structure of TbBO3 (PBE).

a = 3.4884 Å, b = 6.1716 Å, c = 6.8626 Å
α = 90.00°, β = 90.00°, γ = 124.40°
Sites, in units of the cell vectors:
1 Tb 0.1464 0.8962 0.2500
2 Tb 0.8536 0.1038 0.7500
3 B 0.0887 0.3387 0.2500
4 B 0.9113 0.6613 0.7500
5 O 0.9296 0.1798 0.0851
6 O 0.0704 0.8202 0.9149
7 O 0.9296 0.1798 0.4149
8 O 0.0704 0.8202 0.5851
9 O 0.3576 0.6073 0.2500
10 O 0.6424 0.3927 0.7500

- Density: 5.9 g cm⁻³
- Energy relative to the elements, uncorrected: -3.035 eV per atom